## SiTcTeI2 (PBE)

Data for SiTcTeI2 after structural relaxation.

Geometry as POSCAR:
```
SiTcTeI2
1.0
5.504 0.000 0.000
0.000 5.504 0.000
0.000 0.000 5.108
I Si Te Tc
2 1 1 1
direct
0.000 0.500 0.000 I
0.500 0.000 0.000 I
0.500 0.500 0.500 Si
0.000 0.000 0.500 Te
0.000 0.000 0.000 Tc
```

Computed properties:
Polymorph energy (0 for the lowest one)   0 meV/atom
Size of the total moment   1.56 μB/cell
E_form (uncorrected)   19.75 kcal/mol of atoms
Calculated density   5.45 g/cm³
Space-group type   P4/mmm

=====

## LiSiNi14 (PBE)

Data for LiSiNi14 after structural relaxation.

Geometry as POSCAR:
```
LiSiNi14
1.0
4.980 -0.011 0.000
0.011 4.980 0.000
0.000 0.000 6.987
Li Si Ni
1 1 14
direct
0.375 0.375 0.500 Li
0.875 0.875 0.500 Si
0.875 0.875 0.000 Ni
0.375 0.375 0.000 Ni
0.875 0.375 0.500 Ni
0.875 0.375 0.000 Ni
0.375 0.875 0.500 Ni
0.375 0.875 0.000 Ni
0.627 0.123 0.251 Ni
0.627 0.123 0.749 Ni
0.123 0.627 0.251 Ni
0.123 0.627 0.749 Ni
0.627 0.627 0.251 Ni
0.627 0.627 0.749 Ni
0.123 0.123 0.251 Ni
0.123 0.123 0.749 Ni
```

Computed properties:
Size of the total moment   6.61 μB/cell
E_form (uncorrected)   -2.37 kcal/mol of atoms
Calculated density   8.21 g/cm³
Space-group type   P4/mmm

=====

## Mg2BeAs (PBE)

Data for Mg2BeAs after structural relaxation.

Geometry as POSCAR:
```
Mg2BeAs
1.0
-0.567 4.426 2.241
-4.854 0.827 0.825
2.931 -3.904 1.047
Be As Mg
1 1 2
direct
0.750 0.250 0.500 Be
0.250 0.750 0.500 As
0.000 0.000 0.000 Mg
0.500 0.500 0.000 Mg
```

Computed properties:
Polymorph energy (0 for the lowest one)   289 meV/atom
Size of the total moment   0.00 μB/cell
DFT formation energy   10.8 kJ per mole of atoms
Calculated density   3.24 g/cm³
Space-group type   I4/mmm

=====

## Tb3Sm6DyHo2 (PBE)

Data for Tb3Sm6DyHo2 after structural relaxation.

Geometry as POSCAR:
```
Tb3Sm6DyHo2
1.0
-1.004 -0.036 -6.135
-0.424 -5.284 3.248
-10.862 3.810 2.802
Tb Sm Dy Ho
3 6 1 2
direct
0.167 0.833 0.500 Tb
0.833 0.167 0.500 Tb
0.500 0.500 0.500 Tb
0.916 0.583 0.751 Sm
0.750 0.750 0.249 Sm
0.084 0.417 0.249 Sm
0.583 0.916 0.751 Sm
0.250 0.250 0.751 Sm
0.417 0.084 0.249 Sm
0.000 0.000 0.000 Dy
0.333 0.667 0.000 Ho
0.667 0.333 0.000 Ho
```

Computed properties:
Size of the total moment   0.00 μB/cell
DFT formation energy   1.3 kJ per mole of atoms
Calculated density   7.96 g/cm³
Space-group type   C2/m

=====

## PuBeCl5 (PBE)

Data for PuBeCl5 after structural relaxation.

Geometry as POSCAR:
```
PuBeCl5
1.0
6.421 0.246 -2.628
-0.747 6.383 -2.628
-0.148 -0.173 10.269
Pu Be Cl
2 2 10
direct
0.500 0.000 0.000 Pu
0.500 0.000 0.500 Pu
0.890 0.610 0.250 Be
0.110 0.390 0.750 Be
0.747 0.698 0.070 Cl
0.210 0.659 0.326 Cl
0.410 0.089 0.250 Cl
0.803 0.753 0.430 Cl
0.197 0.247 0.570 Cl
0.841 0.290 0.174 Cl
0.159 0.710 0.826 Cl
0.590 0.911 0.750 Cl
0.790 0.341 0.674 Cl
0.253 0.302 0.930 Cl
```

Computed properties:
Size of the total moment   10.00 μB/cell
E_form (uncorrected)   -38.06 kcal/mol of atoms
Calculated density   3.43 g/cm³
Space-group type   C2/c

=====

## Sc4As3 (PBE)

Data for Sc4As3 after structural relaxation.

Geometry as POSCAR:
```
Sc4As3
1.0
-1.501 -3.260 1.506
1.533 -1.537 3.230
-7.274 4.750 8.058
Sc As
4 3
direct
0.377 0.377 0.870 Sc
0.130 0.130 0.610 Sc
0.870 0.870 0.390 Sc
0.623 0.623 0.130 Sc
0.757 0.757 0.730 As
0.243 0.243 0.270 As
0.000 0.000 0.000 As
```

Computed properties:
Polymorph energy (0 for the lowest one)   0 meV/atom
Size of the total moment   0.00 μB/cell
DFT formation energy   -109.1 kJ per mole of atoms
Calculated density   4.40 g/cm³
Space-group type   R-3m

=====

## ScSiHg (PBE)

Data for ScSiHg after structural relaxation.

Geometry as POSCAR:
```
ScSiHg
1.0
6.309 0.136 -0.122
5.374 3.190 0.068
0.935 -0.157 3.056
Hg Sc Si
1 1 1
direct
0.004 0.004 0.996 Hg
0.319 0.319 0.681 Sc
0.677 0.677 0.323 Si
```

Computed properties:
Polymorph energy (0 for the lowest one)   315 meV/atom
Size of the total moment   0.00 μB/cell
E_form (uncorrected)   -2.93 kcal/mol of atoms
Calculated density   7.60 g/cm³
Space-group type   Fmm2

=====

## FeNi2IrRh4 (PBE)

Data for FeNi2IrRh4 after structural relaxation.

Geometry as POSCAR:
```
FeNi2IrRh4
1.0
-0.480 -4.361 0.856
-0.295 -1.319 -6.888
3.304 -0.926 -2.862
Fe Ni Ir Rh
1 2 1 4
direct
0.000 0.500 0.500 Fe
0.000 0.000 0.000 Ni
0.500 0.000 0.500 Ni
0.500 0.500 0.000 Ir
0.000 0.757 0.742 Rh
0.000 0.243 0.258 Rh
0.500 0.757 0.243 Rh
0.500 0.243 0.757 Rh
```

Computed properties:
Size of the total moment   4.07 μB/cell
DFT formation energy   12.4 kJ per mole of atoms
Calculated density   11.93 g/cm³
Space-group type   P4/mmm